Entry 1:
# PBE Pr7Nd3Tm, optimized geometry
# - formation enthalpy at 0 K (eV/atom) = 0.228
# - Fermi-level density of states (states/eV per atom) = 1.41
data_Pr7Nd3Tm
_chemical_formula_sum 'Pr7 Nd3 Tm1'
_space_group_name_H-M_alt 'P 1'
_space_group_IT_number 1
_space_group_name_Hall 'P 1'
_cell_length_a 6.584
_cell_length_b 7.886
_cell_length_c 7.886
_cell_angle_alpha 82.42
_cell_angle_beta 86.46
_cell_angle_gamma 86.46
loop_
_atom_site_label
_atom_site_type_symbol
_atom_site_fract_x
_atom_site_fract_y
_atom_site_fract_z
Pr1 Pr 0.784 0.240 0.240
Pr2 Pr 0.262 0.429 0.084
Pr3 Pr 0.262 0.084 0.429
Pr4 Pr 0.000 0.500 0.500
Pr5 Pr 0.738 0.916 0.571
Pr6 Pr 0.216 0.760 0.760
Pr7 Pr 0.738 0.571 0.916
Nd1 Nd 0.000 0.829 0.171
Nd2 Nd 0.500 0.000 0.000
Nd3 Nd 0.000 0.171 0.829
Tm1 Tm 0.500 0.500 0.500

=====

Entry 2:
# PBE CuMoBr2, optimized geometry
# - Fermi-level density of states (states/eV per atom) = 0.14
# - E_form (uncorrected) (eV/atom) = 0.61
data_CuMoBr2
_chemical_formula_sum 'Cu2 Mo2 Br4'
_space_group_name_H-M_alt 'P 1'
_space_group_IT_number 1
_space_group_name_Hall 'P 1'
_cell_length_a 6.296
_cell_length_b 6.296
_cell_length_c 7.183
_cell_angle_alpha 64.01
_cell_angle_beta 64.01
_cell_angle_gamma 90.00
loop_
_atom_site_label
_atom_site_type_symbol
_atom_site_fract_x
_atom_site_fract_y
_atom_site_fract_z
Mo1 Mo 0.750 0.250 0.500
Mo2 Mo 0.000 0.000 0.000
Cu1 Cu 0.250 0.750 0.500
Cu2 Cu 0.500 0.500 0.000
Br1 Br 0.169 0.625 0.250
Br2 Br 0.375 0.419 0.750
Br3 Br 0.581 0.125 0.250
Br4 Br 0.875 0.831 0.750

=====

Entry 3:
# PBE V2W3, optimized geometry
# - formation enthalpy at 0 K (eV/atom) = -0.092
# - Fermi-level density of states (states/eV per atom) = 0.52
data_V2W3
_chemical_formula_sum 'V4 W6'
_space_group_name_H-M_alt 'P 1'
_space_group_IT_number 1
_space_group_name_Hall 'P 1'
_cell_length_a 5.153
_cell_length_b 5.155
_cell_length_c 7.646
_cell_angle_alpha 90.19
_cell_angle_beta 60.29
_cell_angle_gamma 63.37
loop_
_atom_site_label
_atom_site_type_symbol
_atom_site_fract_x
_atom_site_fract_y
_atom_site_fract_z
W1 W 0.673 0.002 0.353
W2 W 0.777 0.498 0.147
W3 W 0.376 0.500 0.951
W4 W 0.074 0.000 0.549
W5 W 0.576 0.501 0.551
W6 W 0.874 0.999 0.949
V1 V 0.975 0.501 0.749
V2 V 0.475 0.999 0.751
V3 V 0.172 0.502 0.352
V4 V 0.278 0.998 0.148

=====

Entry 4:
# PBE YBPt6, optimized geometry
# - formation enthalpy at 0 K (eV/atom) = -0.552
# - Fermi-level density of states (states/eV per atom) = 0.61
data_YBPt6
_chemical_formula_sum 'Y1 B1 Pt6'
_space_group_name_H-M_alt 'P 1'
_space_group_IT_number 1
_space_group_name_Hall 'P 1'
_cell_length_a 5.590
_cell_length_b 5.590
_cell_length_c 6.059
_cell_angle_alpha 62.53
_cell_angle_beta 62.53
_cell_angle_gamma 60.00
loop_
_atom_site_label
_atom_site_type_symbol
_atom_site_fract_x
_atom_site_fract_y
_atom_site_fract_z
Pt1 Pt 0.094 0.094 0.240
Pt2 Pt 0.906 0.906 0.760
Pt3 Pt 0.572 0.094 0.240
Pt4 Pt 0.094 0.572 0.240
Pt5 Pt 0.428 0.906 0.760
Pt6 Pt 0.906 0.428 0.760
B1 B 0.000 0.000 0.000
Y1 Y 0.500 0.500 0.500

=====

Question: Which value of Fermi-level density of states does entry 3 give?
Answer: 0.52 states/eV per atom

=====

Question: Which value of Fermi-level density of states does entry 4 give?
Answer: 0.61 states/eV per atom